Material: MgCo2O3
Method: DFT, PBE with a Hubbard U
State: relaxed

The space group is P-3m1 (No. 164) and the conventional cell measures 2.9766, 2.9766 and 7.2655 Å, with angles of 90.00, 90.00 and 120.00 degrees. The asymmetric unit holds Mg at (0.0000, 0.0000, 0.0000), Co at (0.3333, 0.6667, 0.6651), O at (0.0000, 0.0000, 0.5000) and O at (0.3333, 0.6667, 0.1619).

The value obtained for the total energy is -5.99 eV/atom.